# 1
# PBE Zr2ScNb, relaxed
data_Zr2ScNb
_cell_length_a 7.706
_cell_length_b 7.706
_cell_length_c 6.025
_cell_angle_alpha 90.00
_cell_angle_beta 90.00
_cell_angle_gamma 90.00
_space_group_name_H-M_alt 'I -4 2 d'
_space_group_IT_number 122
_space_group_name_Hall 'I -4 2bw'
loop_
_atom_site_label
_atom_site_type_symbol
_atom_site_fract_x
_atom_site_fract_y
_atom_site_fract_z
Zr1 Zr 0.238 0.250 0.125
Sc1 Sc 0.000 0.000 0.500
Nb1 Nb 0.000 0.000 0.000
# - Crystal system: tetragonal
# - Energy of formation: 517 meV per atom
# - E above lowest polymorph: 445 meV/atom
# - Mass density: 5.95 g/cm3
# - V: 22.364 A^3/atom

---

# 2
# PBE ZrSc2Nb, relaxed
data_ZrSc2Nb
_cell_length_a 7.785
_cell_length_b 7.785
_cell_length_c 5.913
_cell_angle_alpha 90.00
_cell_angle_beta 90.00
_cell_angle_gamma 90.00
_space_group_name_H-M_alt 'I -4 2 d'
_space_group_IT_number 122
_space_group_name_Hall 'I -4 2bw'
loop_
_atom_site_label
_atom_site_type_symbol
_atom_site_fract_x
_atom_site_fract_y
_atom_site_fract_z
Zr1 Zr 0.000 0.000 0.000
Sc1 Sc 0.235 0.250 0.625
Nb1 Nb 0.000 0.000 0.500
# - Crystal system: tetragonal
# - Energy of formation: 549 meV per atom
# - E above lowest polymorph: 438 meV/atom
# - Mass density: 5.08 g/cm3
# - V: 22.397 A^3/atom

---

# 3
# PBE ZrScNb4, relaxed
data_ZrScNb4
_cell_length_a 7.889
_cell_length_b 7.889
_cell_length_c 7.889
_cell_angle_alpha 90.00
_cell_angle_beta 90.00
_cell_angle_gamma 90.00
_space_group_name_H-M_alt 'F -4 3 m'
_space_group_IT_number 216
_space_group_name_Hall 'F -4 2 3'
loop_
_atom_site_label
_atom_site_type_symbol
_atom_site_fract_x
_atom_site_fract_y
_atom_site_fract_z
Zr1 Zr 0.000 0.000 0.000
Sc1 Sc 0.250 0.250 0.750
Nb1 Nb 0.125 0.125 0.375
# - Crystal system: cubic
# - Energy of formation: 97 meV per atom
# - Mass density: 6.87 g/cm3
# - V: 20.457 A^3/atom

---

# 4
# PBE ZrSc2Nb, relaxed
data_ZrSc2Nb
_cell_length_a 3.1418
_cell_length_b 3.1418
_cell_length_c 30.8573
_cell_angle_alpha 90.00
_cell_angle_beta 90.00
_cell_angle_gamma 120.00
_space_group_name_H-M_alt 'R 3 m'
_space_group_IT_number 160
_space_group_name_Hall 'R 3 -2"'
loop_
_atom_site_label
_atom_site_type_symbol
_atom_site_fract_x
_atom_site_fract_y
_atom_site_fract_z
Zr1 Zr 0.0000 0.0000 0.0000
Sc1 Sc 0.0000 0.0000 0.5784
Sc2 Sc 0.0000 0.0000 0.7538
Nb1 Nb 0.0000 0.0000 0.1659
# - Crystal system: trigonal
# - Energy of formation: 111 meV per atom
# - E above lowest polymorph: 0 meV/atom
# - Mass density: 5.18 g/cm3
# - V: 21.981 A^3/atom

---

# 5
# PBE Zr2ScNb, relaxed
data_Zr2ScNb
_cell_length_a 3.1594
_cell_length_b 3.1594
_cell_length_c 30.7327
_cell_angle_alpha 90.00
_cell_angle_beta 90.00
_cell_angle_gamma 120.00
_space_group_name_H-M_alt 'R -3 m'
_space_group_IT_number 166
_space_group_name_Hall '-R 3 2"'
loop_
_atom_site_label
_atom_site_type_symbol
_atom_site_fract_x
_atom_site_fract_y
_atom_site_fract_z
Zr1 Zr 0.0000 0.0000 0.2461
Sc1 Sc 0.0000 0.0000 0.0000
Nb1 Nb 0.0000 0.0000 0.5000
# - Crystal system: trigonal
# - Energy of formation: 160 meV per atom
# - E above lowest polymorph: 87 meV/atom
# - Mass density: 6.01 g/cm3
# - V: 22.139 A^3/atom

---

# 6
# PBE ZrSc2Nb, relaxed
data_ZrSc2Nb
_cell_length_a 3.0884
_cell_length_b 3.0884
_cell_length_c 32.6874
_cell_angle_alpha 90.00
_cell_angle_beta 90.00
_cell_angle_gamma 120.00
_space_group_name_H-M_alt 'R -3 m'
_space_group_IT_number 166
_space_group_name_Hall '-R 3 2"'
loop_
_atom_site_label
_atom_site_type_symbol
_atom_site_fract_x
_atom_site_fract_y
_atom_site_fract_z
Zr1 Zr 0.0000 0.0000 0.0000
Sc1 Sc 0.0000 0.0000 0.0929
Nb1 Nb 0.0000 0.0000 0.5000
# - Crystal system: trigonal
# - Energy of formation: 244 meV per atom
# - E above lowest polymorph: 134 meV/atom
# - Mass density: 5.06 g/cm3
# - V: 22.500 A^3/atom

---

# 7
# PBE ZrSc2Nb, relaxed
data_ZrSc2Nb
_cell_length_a 7.026
_cell_length_b 7.026
_cell_length_c 7.026
_cell_angle_alpha 90.00
_cell_angle_beta 90.00
_cell_angle_gamma 90.00
_space_group_name_H-M_alt 'F m -3 m'
_space_group_IT_number 225
_space_group_name_Hall '-F 4 2 3'
loop_
_atom_site_label
_atom_site_type_symbol
_atom_site_fract_x
_atom_site_fract_y
_atom_site_fract_z
Zr1 Zr 0.000 0.000 0.000
Sc1 Sc 0.250 0.250 0.250
Nb1 Nb 0.000 0.000 0.500
# - Crystal system: cubic
# - Energy of formation: 229 meV per atom
# - E above lowest polymorph: 118 meV/atom
# - Mass density: 5.25 g/cm3
# - V: 21.673 A^3/atom

---

# 8
# PBE ZrScNb3, relaxed
data_ZrScNb3
_cell_length_a 4.934
_cell_length_b 4.934
_cell_length_c 4.934
_cell_angle_alpha 90.00
_cell_angle_beta 90.00
_cell_angle_gamma 90.00
_space_group_name_H-M_alt 'P m -3 m'
_space_group_IT_number 221
_space_group_name_Hall '-P 4 2 3'
loop_
_atom_site_label
_atom_site_type_symbol
_atom_site_fract_x
_atom_site_fract_y
_atom_site_fract_z
Zr1 Zr 0.000 0.000 0.000
Sc1 Sc 0.500 0.500 0.500
Nb1 Nb 0.000 0.000 0.500
# - Crystal system: cubic
# - Energy of formation: 1305 meV per atom
# - E above lowest polymorph: 0 meV/atom
# - Mass density: 5.74 g/cm3
# - V: 24.019 A^3/atom

---

- Among the records above, which one has the lowest mass density?
  number 6